## ScMnRu2 (GGA-PBE)

Data for ScMnRu2 after structural relaxation.

The structure in CIF format:
```
data_ScMnRu2
_cell_length_a 3.101
_cell_length_b 4.234
_cell_length_c 4.618
_cell_angle_alpha 90.00
_cell_angle_beta 90.00
_cell_angle_gamma 90.00
_space_group_name_H-M_alt 'P m m m'
_space_group_IT_number 47
loop_
_space_group_symop_operation_xyz
'x,y,z'
'-x,-y,-z'
'-x,-y,z'
'x,y,-z'
'x,-y,-z'
'-x,y,z'
'-x,y,-z'
'x,-y,z'
loop_
_atom_site_label
_atom_site_type_symbol
_atom_site_fract_x
_atom_site_fract_y
_atom_site_fract_z
Sc1 Sc 0.000 0.000 0.000
Mn1 Mn 0.500 0.000 0.500
Ru1 Ru 0.000 0.500 0.500
Ru2 Ru 0.500 0.500 0.000
```

Results
energy of formation = -0.042 eV/atom
DFT total energy = -8.55 eV per atom